No. 1
Entry from Alexandria via LeMat-Bulk: an optimized crystal structure of MnCdC3 (PBE).

Values from the calculation:
Energy relative to the elements: 3.760 eV per atom
Energy above the most stable polymorph in this dataset: 45.52 kcal/mol of atoms
Raw total energy: -3.791 eV per atom
Total magnetization: 0.4 Bohr magnetons per cell
Symmetry: Pm-3m (221)
Density: 4.6 Mg/m³

a = 4.1849 Å, b = 4.1849 Å, c = 4.1849 Å
α = 90.00°, β = 90.00°, γ = 90.00°
Last column: nearest neighbours and their distance in Å.
Fractional coordinates of all 5 atoms:
Mn 0.0000 0.0000 0.0000  12 C 2.96
Cd 0.5000 0.5000 0.5000  6 C 2.09
C 0.0000 0.5000 0.5000  2 Cd 2.09
C 0.5000 0.0000 0.5000  2 Cd 2.09
C 0.5000 0.5000 0.0000  2 Cd 2.09


No. 2
Entry from Alexandria via LeMat-Bulk: an optimized crystal structure of MnCdC3 (PBE).

Values from the calculation:
Energy relative to the elements: 1.786 eV per atom
Energy above the most stable polymorph in this dataset: 0.00 kcal/mol of atoms
Raw total energy: -5.765 eV per atom
Total magnetization: 0.0 Bohr magnetons per cell
Symmetry: Pm-3m (221)
Density: 5.9 Mg/m³

a = 3.8540 Å, b = 3.8540 Å, c = 3.8540 Å
α = 90.00°, β = 90.00°, γ = 90.00°
Last column: nearest neighbours and their distance in Å.
Fractional coordinates of all 5 atoms:
Mn 0.0000 0.0000 0.0000  6 C 1.93
Cd 0.5000 0.5000 0.5000  12 C 2.73
C 0.0000 0.0000 0.5000  2 Mn 1.93
C 0.0000 0.5000 0.0000  2 Mn 1.93
C 0.5000 0.0000 0.0000  2 Mn 1.93


No. 3
Entry from Alexandria via LeMat-Bulk: an optimized crystal structure of MnCd3C (PBE).

Values from the calculation:
Energy relative to the elements: 1.034 eV per atom
Energy above the most stable polymorph in this dataset: 0.00 kcal/mol of atoms
Raw total energy: -3.194 eV per atom
Total magnetization: 4.1 Bohr magnetons per cell
Symmetry: Pm-3m (221)
Density: 6.8 Mg/m³

a = 4.6203 Å, b = 4.6203 Å, c = 4.6203 Å
α = 90.00°, β = 90.00°, γ = 90.00°
Last column: nearest neighbours and their distance in Å.
Fractional coordinates of all 5 atoms:
Mn 0.0000 0.0000 0.0000  12 Cd 3.27
Cd 0.0000 0.5000 0.5000  2 C 2.31
Cd 0.5000 0.0000 0.5000  2 C 2.31
Cd 0.5000 0.5000 0.0000  2 C 2.31
C 0.5000 0.5000 0.5000  6 Cd 2.31


No. 4
Entry from Alexandria via LeMat-Bulk: an optimized crystal structure of Mn2CdC2 (PBE).

Values from the calculation:
Energy relative to the elements: 1.076 eV per atom
Energy above the most stable polymorph in this dataset: 15.82 kcal/mol of atoms
Raw total energy: -6.464 eV per atom
Total magnetization: 11.5 Bohr magnetons per cell
Symmetry: P4/mbm (127)
Density: 5.7 Mg/m³

a = 6.9738 Å, b = 6.9738 Å, c = 2.9465 Å
α = 90.00°, β = 90.00°, γ = 90.00°
Last column: nearest neighbours and their distance in Å.
Fractional coordinates of all 10 atoms:
Mn 0.1220 0.3780 0.0000  4 C 2.04
Mn 0.3780 0.8780 0.0000  4 C 2.04
Mn 0.6220 0.1220 0.0000  4 C 2.04
Mn 0.8780 0.6220 0.0000  4 C 2.04
Cd 0.0000 0.0000 0.0000  4 Mn 2.77, 2 Cd 2.95
Cd 0.5000 0.5000 0.0000  4 Mn 2.77, 2 Cd 2.95
C 0.0760 0.5760 0.5000  1 C 1.50
C 0.4240 0.0760 0.5000  1 C 1.50
C 0.5760 0.9240 0.5000  1 C 1.50
C 0.9240 0.4240 0.5000  1 C 1.50


No. 5
Entry from Alexandria via LeMat-Bulk: an optimized crystal structure of MnCdC2 (PBE).

Values from the calculation:
Energy relative to the elements: 0.962 eV per atom
Raw total energy: -6.171 eV per atom
Total magnetization: 3.5 Bohr magnetons per cell
Symmetry: I-42d (122)
Density: 5.9 Mg/m³

a = 4.8659 Å, b = 4.8659 Å, c = 9.0330 Å
α = 90.00°, β = 90.00°, γ = 90.00°
Last column: nearest neighbours and their distance in Å.
Fractional coordinates of all 16 atoms:
Mn 0.0000 0.0000 0.0000  4 C 1.82
Mn 0.0000 0.5000 0.2500  4 C 1.82
Mn 0.5000 0.0000 0.7500  4 C 1.82
Mn 0.5000 0.5000 0.5000  4 C 1.82
Cd 0.0000 0.0000 0.5000  4 C 2.36
Cd 0.0000 0.5000 0.7500  4 C 2.36
Cd 0.5000 0.0000 0.2500  4 C 2.36
Cd 0.5000 0.5000 0.0000  4 C 2.36
C 0.1549 0.2500 0.1250  2 Mn 1.82
C 0.2500 0.6549 0.3750  2 Mn 1.82
C 0.2500 0.8451 0.8750  2 Mn 1.82
C 0.3451 0.2500 0.6250  2 Mn 1.82
C 0.6549 0.7500 0.6250  2 Mn 1.82
C 0.7500 0.1549 0.8750  2 Mn 1.82
C 0.7500 0.3451 0.3750  2 Mn 1.82
C 0.8451 0.7500 0.1250  2 Mn 1.82


No. 6
Entry from Alexandria via LeMat-Bulk: an optimized crystal structure of MnCd3C (PBE).

Values from the calculation:
Energy relative to the elements: 2.179 eV per atom
Energy above the most stable polymorph in this dataset: 26.41 kcal/mol of atoms
Raw total energy: -2.049 eV per atom
Total magnetization: 0.0 Bohr magnetons per cell
Symmetry: Pm-3m (221)
Density: 5.4 Mg/m³

a = 4.9914 Å, b = 4.9914 Å, c = 4.9914 Å
α = 90.00°, β = 90.00°, γ = 90.00°
Last column: nearest neighbours and their distance in Å.
Fractional coordinates of all 5 atoms:
Mn 0.0000 0.0000 0.0000  6 Cd 2.50
Cd 0.0000 0.0000 0.5000  2 Mn 2.50
Cd 0.0000 0.5000 0.0000  2 Mn 2.50
Cd 0.5000 0.0000 0.0000  2 Mn 2.50
C 0.5000 0.5000 0.5000  12 Cd 3.53